Record 1
Material: NaV2Se
Method: DFT, PBE-GGA
State: optimized geometry

Computed properties:
Formation energy (no corrections): 1.61 eV/f.u.
Crystal system: tetragonal

abc: 4.0321 4.0321 9.8708
angles: 78.21 78.21 90.00
Element x y z (fractional)
1 V 0.8750 0.0281 0.7500
2 V 0.7781 0.1250 0.2500
3 V 0.3750 0.2219 0.7500
4 V 0.9719 0.6250 0.2500
5 Se 0.0000 0.0000 0.0000
6 Se 0.7500 0.2500 0.5000
7 Na 0.2500 0.7500 0.5000
8 Na 0.5000 0.5000 0.0000

=====

Record 2
Material: Cs2KAuCl
Method: DFT, PBE-GGA
State: optimized geometry

Computed properties:
Formation energy (no corrections): -3.76 eV/f.u.
Crystal system: tetragonal

abc: 6.6699 6.6699 5.9503
angles: 90.00 90.00 90.00
Element x y z (fractional)
1 Au 0.5000 0.5000 0.5000
2 K 0.0000 0.0000 0.5000
3 Cs 0.0000 0.5000 0.0000
4 Cs 0.5000 0.0000 0.0000
5 Cl 0.0000 0.0000 0.0000

=====

Record 3
Material: Mg2NiPI
Method: DFT, PBE-GGA
State: optimized geometry

Computed properties:
Formation energy (no corrections): -1.39 eV/f.u.
Crystal system: tetragonal

abc: 5.2371 4.0445 5.2371
angles: 90.00 90.00 90.00
Element x y z (fractional)
1 Mg 0.0000 0.0000 0.5000
2 Mg 0.5000 0.0000 0.0000
3 I 0.5000 0.5000 0.5000
4 P 0.0000 0.5000 0.0000
5 Ni 0.0000 0.0000 0.0000

=====

Record 4
Material: TlSb2Br
Method: DFT, PBE-GGA
State: optimized geometry

Computed properties:
Formation energy (no corrections): -0.21 eV/f.u.
Crystal system: tetragonal
Energy relative to the lowest polymorph listed for this composition: 266.9 meV/atom

abc: 7.6787 4.3447 4.3447
angles: 90.00 90.00 90.00
Element x y z (fractional)
1 Sb 0.0000 0.0000 0.0000
2 Sb 0.0000 0.5000 0.5000
3 Br 0.5000 0.0000 0.5000
4 Tl 0.5000 0.5000 0.0000